Entry 1:
## YHfAu (PBE)

Data for an optimized crystal structure of YHfAu.

Results
- D(E_F): 1.540 states/eV/atom
- Total magnetization: 0.000 μB/atom
- E_tot: -6.97 eV/atom
- Calculated formation energy: -401 meV per atom

Cell and atoms, written as CIF:
```
data_YHfAu
_chemical_formula_sum 'Y4 Hf4 Au4'
_cell_length_a 4.5421
_cell_length_b 11.4606
_cell_length_c 5.5865
_cell_angle_alpha 90.00
_cell_angle_beta 90.00
_cell_angle_gamma 90.00
_space_group_name_H-M_alt 'C m c 21'
_space_group_IT_number 36
_space_group_name_Hall 'C 2c -2'
loop_
_atom_site_label
_atom_site_type_symbol
_atom_site_fract_x
_atom_site_fract_y
_atom_site_fract_z
Y1 Y 0.0000 0.2073 0.0000
Hf1 Hf 0.0000 0.5003 0.2509
Au1 Au 0.0000 0.0939 0.5008
```



Entry 2:
## Tc2AgOs (PBE)

Data for an optimized crystal structure of Tc2AgOs.

Results
- D(E_F): 0.859 states/eV/atom
- Total magnetization: 0.000 μB/atom
- E_tot: -8.34 eV/atom
- Calculated formation energy: 368 meV per atom

Cell and atoms, written as CIF:
```
data_Tc2AgOs
_chemical_formula_sum 'Tc2 Ag1 Os1'
_cell_length_a 2.7469
_cell_length_b 2.7469
_cell_length_c 8.1347
_cell_angle_alpha 90.00
_cell_angle_beta 90.00
_cell_angle_gamma 90.00
_space_group_name_H-M_alt 'P 4 m m'
_space_group_IT_number 99
_space_group_name_Hall 'P 4 -2'
loop_
_atom_site_label
_atom_site_type_symbol
_atom_site_fract_x
_atom_site_fract_y
_atom_site_fract_z
Tc1 Tc 0.0000 0.0000 0.0000
Tc2 Tc 0.5000 0.5000 0.2466
Ag1 Ag 0.0000 0.0000 0.5135
Os1 Os 0.5000 0.5000 0.7844
```



Entry 3:
## YMo2I2 (PBE)

Data for an optimized crystal structure of YMo2I2.

Results
- D(E_F): 1.237 states/eV/atom
- Total magnetization: 0.267 μB/atom
- E_tot: -5.47 eV/atom

Cell and atoms, written as CIF:
```
data_YMo2I2
_chemical_formula_sum 'Y2 Mo4 I4'
_cell_length_a 8.0323
_cell_length_b 8.0323
_cell_length_c 3.5822
_cell_angle_alpha 90.00
_cell_angle_beta 90.00
_cell_angle_gamma 90.00
_space_group_name_H-M_alt 'P 4/m b m'
_space_group_IT_number 127
_space_group_name_Hall '-P 4 2ab'
loop_
_atom_site_label
_atom_site_type_symbol
_atom_site_fract_x
_atom_site_fract_y
_atom_site_fract_z
Y1 Y 0.0000 0.0000 0.0000
Mo1 Mo 0.1031 0.3969 0.0000
I1 I 0.1904 0.6904 0.5000
```



Entry 4:
## Rb2PuNp2Se6 (PBE)

Data for an optimized crystal structure of Rb2PuNp2Se6.

Results
- D(E_F): 2.996 states/eV/atom
- Total magnetization: 1.091 μB/atom
- E_tot: -7.05 eV/atom

Cell and atoms, written as CIF:
```
data_Rb2PuNp2Se6
_chemical_formula_sum 'Rb4 Pu2 Np4 Se12'
_cell_length_a 7.2989
_cell_length_b 12.6615
_cell_length_c 8.4921
_cell_angle_alpha 90.00
_cell_angle_beta 106.52
_cell_angle_gamma 90.00
_space_group_name_H-M_alt 'C 1 2/m 1'
_space_group_IT_number 12
_space_group_name_Hall '-C 2y'
loop_
_atom_site_label
_atom_site_type_symbol
_atom_site_fract_x
_atom_site_fract_y
_atom_site_fract_z
Rb1 Rb 0.0000 0.1659 0.0000
Pu1 Pu 0.0000 0.0000 0.5000
Np1 Np 0.0000 0.3338 0.5000
Se1 Se 0.2257 0.5000 0.6900
Se2 Se 0.2310 0.1691 0.6894
```



Entry 5:
## Fe2CoP (PBE)

Data for an optimized crystal structure of Fe2CoP.

Results
- D(E_F): 0.676 states/eV/atom
- Total magnetization: 1.422 μB/atom
- E_tot: -7.45 eV/atom
- Calculated formation energy: -87 meV per atom

Cell and atoms, written as CIF:
```
data_Fe2CoP
_chemical_formula_sum 'Fe2 Co1 P1'
_cell_length_a 2.6374
_cell_length_b 3.5724
_cell_length_c 4.7560
_cell_angle_alpha 90.00
_cell_angle_beta 90.00
_cell_angle_gamma 90.00
_space_group_name_H-M_alt 'P m m m'
_space_group_IT_number 47
_space_group_name_Hall '-P 2 2'
loop_
_atom_site_label
_atom_site_type_symbol
_atom_site_fract_x
_atom_site_fract_y
_atom_site_fract_z
Fe1 Fe 0.0000 0.0000 0.2482
Co1 Co 0.5000 0.5000 0.5000
P1 P 0.5000 0.5000 0.0000
```



Entry 6:
## NbNiMo (PBE)

Data for an optimized crystal structure of NbNiMo.

Results
- D(E_F): 0.651 states/eV/atom
- Total magnetization: 0.000 μB/atom
- E_tot: -8.95 eV/atom
- Calculated formation energy: -60 meV per atom

Cell and atoms, written as CIF:
```
data_NbNiMo
_chemical_formula_sum 'Nb4 Ni4 Mo4'
_cell_length_a 3.4832
_cell_length_b 4.1056
_cell_length_c 12.5304
_cell_angle_alpha 90.00
_cell_angle_beta 90.00
_cell_angle_gamma 90.00
_space_group_name_H-M_alt 'F m m 2'
_space_group_IT_number 42
_space_group_name_Hall 'F 2 -2'
loop_
_atom_site_label
_atom_site_type_symbol
_atom_site_fract_x
_atom_site_fract_y
_atom_site_fract_z
Nb1 Nb 0.0000 0.0000 0.0000
Ni1 Ni 0.0000 0.0000 0.6611
Mo1 Mo 0.0000 0.0000 0.3115
```



Entry 7:
## LiZnH2Pd4 (PBE)

Data for an optimized crystal structure of LiZnH2Pd4.

Results
- D(E_F): 0.237 states/eV/atom
- Total magnetization: 0.000 μB/atom
- E_tot: -4.01 eV/atom

Cell and atoms, written as CIF:
```
data_LiZnH2Pd4
_chemical_formula_sum 'Li1 Zn1 H2 Pd4'
_cell_length_a 4.0002
_cell_length_b 4.0002
_cell_length_c 6.1919
_cell_angle_alpha 90.00
_cell_angle_beta 90.00
_cell_angle_gamma 90.00
_space_group_name_H-M_alt 'P 4/m m m'
_space_group_IT_number 123
_space_group_name_Hall '-P 4 2'
loop_
_atom_site_label
_atom_site_type_symbol
_atom_site_fract_x
_atom_site_fract_y
_atom_site_fract_z
Li1 Li 0.0000 0.0000 0.0000
Zn1 Zn 0.0000 0.0000 0.5000
H1 H 0.5000 0.5000 0.2332
Pd1 Pd 0.0000 0.5000 0.2411
```



Entry 8:
## Ti6GaPd8 (PBE)

Data for an optimized crystal structure of Ti6GaPd8.

Results
- D(E_F): 0.928 states/eV/atom
- Total magnetization: 0.150 μB/atom
- E_tot: -6.55 eV/atom
- Calculated formation energy: -416 meV per atom

Cell and atoms, written as CIF:
```
data_Ti6GaPd8
_chemical_formula_sum 'Ti18 Ga3 Pd24'
_cell_length_a 7.2595
_cell_length_b 7.2595
_cell_length_c 16.2548
_cell_angle_alpha 90.00
_cell_angle_beta 90.00
_cell_angle_gamma 120.00
_space_group_name_H-M_alt 'R -3'
_space_group_IT_number 148
_space_group_name_Hall '-R 3'
loop_
_atom_site_label
_atom_site_type_symbol
_atom_site_fract_x
_atom_site_fract_y
_atom_site_fract_z
Ti1 Ti 0.0189 0.7436 0.3867
Ga1 Ga 0.0000 0.0000 0.0000
Pd1 Pd 0.0000 0.0000 0.2627
Pd2 Pd 0.0037 0.2644 0.1165
```



Entry 9:
## CaYNi4 (PBE)

Data for an optimized crystal structure of CaYNi4.

Results
- D(E_F): 1.171 states/eV/atom
- Total magnetization: 0.000 μB/atom
- E_tot: -5.57 eV/atom
- Calculated formation energy: -305 meV per atom

Cell and atoms, written as CIF:
```
data_CaYNi4
_chemical_formula_sum 'Ca4 Y4 Ni16'
_cell_length_a 7.1853
_cell_length_b 7.1853
_cell_length_c 7.1853
_cell_angle_alpha 90.00
_cell_angle_beta 90.00
_cell_angle_gamma 90.00
_space_group_name_H-M_alt 'F -4 3 m'
_space_group_IT_number 216
_space_group_name_Hall 'F -4 2 3'
loop_
_atom_site_label
_atom_site_type_symbol
_atom_site_fract_x
_atom_site_fract_y
_atom_site_fract_z
Ca1 Ca 0.0000 0.0000 0.0000
Y1 Y 0.2500 0.2500 0.7500
Ni1 Ni 0.1250 0.1250 0.3750
```



Entry 10:
## CaNi2Se2 (PBE)

Data for an optimized crystal structure of CaNi2Se2.

Results
- D(E_F): 0.894 states/eV/atom
- Total magnetization: 0.000 μB/atom
- E_tot: -4.80 eV/atom

Cell and atoms, written as CIF:
```
data_CaNi2Se2
_chemical_formula_sum 'Ca2 Ni4 Se4'
_cell_length_a 3.8804
_cell_length_b 3.8804
_cell_length_c 11.8681
_cell_angle_alpha 90.00
_cell_angle_beta 90.00
_cell_angle_gamma 90.00
_space_group_name_H-M_alt 'I 4/m m m'
_space_group_IT_number 139
_space_group_name_Hall '-I 4 2'
loop_
_atom_site_label
_atom_site_type_symbol
_atom_site_fract_x
_atom_site_fract_y
_atom_site_fract_z
Ca1 Ca 0.0000 0.0000 0.0000
Ni1 Ni 0.0000 0.5000 0.2500
Se1 Se 0.0000 0.0000 0.3680
```



Entry 11:
## Hg2Se2O7 (PBE)

Data for an optimized crystal structure of Hg2Se2O7.

Results
- Total magnetization: 0.000 μB/atom
- E_tot: -4.30 eV/atom

Cell and atoms, written as CIF:
```
data_Hg2Se2O7
_chemical_formula_sum 'Hg4 Se4 O14'
_cell_length_a 5.0354
_cell_length_b 10.9389
_cell_length_c 6.7282
_cell_angle_alpha 90.00
_cell_angle_beta 100.65
_cell_angle_gamma 90.00
_space_group_name_H-M_alt 'P 1 21/c 1'
_space_group_IT_number 14
_space_group_name_Hall '-P 2ybc'
loop_
_atom_site_label
_atom_site_type_symbol
_atom_site_fract_x
_atom_site_fract_y
_atom_site_fract_z
Hg1 Hg 0.1126 0.1517 0.3786
Se1 Se 0.3332 0.6080 0.6727
O1 O 0.0452 0.6793 0.5340
O2 O 0.2077 0.5378 0.8736
O3 O 0.4705 0.2192 0.7051
O4 O 0.5000 0.0000 0.0000
```